[1]
The following is a PBE-GGA calculation of an optimized crystal structure of NdSn2Pt5, from Alexandria via LeMat-Bulk.

a b c (Å): 3.999 7.043 11.453
angles (deg): 90.00 90.00 90.00
Element x y z (fractional)
Nd 0.000 0.000 0.000
Nd 0.500 0.500 0.500
Sn 0.000 0.500 0.240
Sn 0.000 0.500 0.760
Sn 0.500 0.000 0.260
Sn 0.500 0.000 0.740
Pt 0.000 0.204 0.378
Pt 0.000 0.204 0.622
Pt 0.000 0.500 0.000
Pt 0.000 0.796 0.378
Pt 0.000 0.796 0.622
Pt 0.500 0.000 0.500
Pt 0.500 0.296 0.122
Pt 0.500 0.296 0.878
Pt 0.500 0.704 0.122
Pt 0.500 0.704 0.878


[2]
The following is a PBE-GGA calculation of an optimized crystal structure of AgSn2Sb2, from Alexandria via LeMat-Bulk.

a b c (Å): 8.209 8.209 4.044
angles (deg): 90.00 90.00 90.00
Element x y z (fractional)
Ag 0.000 0.000 0.000
Ag 0.500 0.500 0.000
Sn 0.151 0.349 0.000
Sn 0.349 0.849 0.000
Sn 0.651 0.151 0.000
Sn 0.849 0.651 0.000
Sb 0.154 0.654 0.500
Sb 0.346 0.154 0.500
Sb 0.654 0.846 0.500
Sb 0.846 0.346 0.500

Computed properties:
Energy above the most stable polymorph in this dataset: 181 meV per atom
Uncorrected formation energy: 0.2347 eV per atom


[3]
The following is a PBE-GGA calculation of an optimized crystal structure of Mo4Os5, from Alexandria via LeMat-Bulk.

a b c (Å): 6.238 6.238 6.238
angles (deg): 95.51 95.51 143.90
Element x y z (fractional)
Mo 0.000 0.320 0.320
Mo 0.000 0.680 0.680
Mo 0.320 0.000 0.320
Mo 0.680 0.000 0.680
Os 0.000 0.000 0.000
Os 0.336 0.336 0.672
Os 0.336 0.664 0.000
Os 0.664 0.336 0.000
Os 0.664 0.664 0.328

Computed properties:
Energy above the most stable polymorph in this dataset: 0 meV per atom


| no. | VASP energy (eV per cell) |
| --- | --- |
| 1 | -95.604 |
| 2 | -35.856 |
| 3 | -98.855 |